[1]
Density functional theory data (PBE-GGA) for Mg2TlNi2 after structural relaxation.

Properties
- Volume: 17.02 Å³/atom
- Polymorph energy (0 for the lowest one): 0.156 eV/atom
- Calculated formation energy: 0.10 eV/atom
- N(E_F): 1.8 states/eV/f.u.
- Total moment: 0.0 μB per cell

abc: 7.591 7.591 2.954
angles: 90.00 90.00 90.00
Positions (direct):
Mg  0.136  0.364  0.000
Mg  0.364  0.864  0.000
Mg  0.636  0.136  0.000
Mg  0.864  0.636  0.000
Tl  0.000  0.000  0.000
Tl  0.500  0.500  0.000
Ni  0.155  0.655  0.500
Ni  0.345  0.155  0.500
Ni  0.655  0.845  0.500
Ni  0.845  0.345  0.500

***

[2]
Density functional theory data (PBE-GGA) for Mg8TlNi2 after structural relaxation.

Properties
- Volume: 20.79 Å³/atom
- Polymorph energy (0 for the lowest one): 0.000 eV/atom
- Calculated formation energy: -0.06 eV/atom
- N(E_F): 4.9 states/eV/f.u.
- Total moment: 0.0 μB per cell

abc: 7.150 7.150 4.977
angles: 97.75 97.75 112.13
Positions (direct):
Mg  0.106  0.106  0.791
Mg  0.168  0.437  0.420
Mg  0.244  0.756  0.000
Mg  0.437  0.168  0.420
Mg  0.563  0.832  0.580
Mg  0.756  0.244  0.000
Mg  0.832  0.563  0.580
Mg  0.894  0.894  0.209
Tl  0.500  0.500  0.000
Ni  0.184  0.816  0.500
Ni  0.816  0.184  0.500

***

[3]
Density functional theory data (PBE-GGA) for Mg2TlNi2 after structural relaxation.

Properties
- Volume: 17.11 Å³/atom
- Polymorph energy (0 for the lowest one): 0.000 eV/atom
- Calculated formation energy: -0.06 eV/atom
- N(E_F): 2.4 states/eV/f.u.
- Total moment: 0.0 μB per cell

abc: 6.808 6.808 3.692
angles: 90.00 90.00 90.00
Positions (direct):
Mg  0.160  0.340  0.000
Mg  0.340  0.840  0.000
Mg  0.660  0.160  0.000
Mg  0.840  0.660  0.000
Tl  0.000  0.000  0.500
Tl  0.500  0.500  0.500
Ni  0.128  0.628  0.500
Ni  0.372  0.128  0.500
Ni  0.628  0.872  0.500
Ni  0.872  0.372  0.500

***

[4]
Density functional theory data (PBE-GGA) for MgTl2Ni after structural relaxation.

Properties
- Volume: 20.93 Å³/atom
- Calculated formation energy: 0.18 eV/atom
- N(E_F): 1.9 states/eV/f.u.
- Total moment: 0.0 μB per cell

abc: 3.366 3.366 7.390
angles: 90.00 90.00 90.16
Positions (direct):
Mg  0.000  0.000  0.000
Tl  0.500  0.500  0.284
Tl  0.500  0.500  0.716
Ni  0.000  0.000  0.500

***

[5]
Density functional theory data (PBE-GGA) for MgTlNi after structural relaxation.

Properties
- Volume: 17.88 Å³/atom
- Calculated formation energy: 0.05 eV/atom
- N(E_F): 0.8 states/eV/f.u.
- Total moment: 0.0 μB per cell

abc: 5.262 5.262 5.262
angles: 142.49 142.49 54.08
Positions (direct):
Mg  0.000  0.000  0.000
Tl  0.304  0.304  0.000
Ni  0.638  0.638  0.000

***

[6]
Density functional theory data (PBE-GGA) for MgTl2Ni after structural relaxation.

Properties
- Volume: 20.88 Å³/atom
- Calculated formation energy: 0.24 eV/atom
- N(E_F): 2.4 states/eV/f.u.
- Total moment: 0.0 μB per cell

abc: 5.494 5.494 5.494
angles: 134.33 134.33 66.58
Positions (direct):
Mg  0.000  0.000  0.000
Tl  0.500  0.500  0.000
Tl  0.750  0.250  0.500
Ni  0.250  0.750  0.500

***

[7]
Density functional theory data (PBE-GGA) for Mg5TlNi after structural relaxation.

Properties
- Volume: 20.99 Å³/atom
- Polymorph energy (0 for the lowest one): 0.000 eV/atom
- Calculated formation energy: -0.07 eV/atom
- N(E_F): 1.8 states/eV/f.u.
- Total moment: 0.0 μB per cell

abc: 4.473 4.473 7.346
angles: 90.00 90.00 90.00
Positions (direct):
Mg  0.000  0.000  0.000
Mg  0.000  0.500  0.304
Mg  0.000  0.500  0.696
Mg  0.500  0.000  0.304
Mg  0.500  0.000  0.696
Tl  0.500  0.500  0.000
Ni  0.000  0.000  0.500

***

[8]
Density functional theory data (PBE-GGA) for MgTl2Ni after structural relaxation.

Properties
- Volume: 21.85 Å³/atom
- Calculated formation energy: 0.31 eV/atom
- N(E_F): 2.6 states/eV/f.u.
- Total moment: 0.0 μB per cell

abc: 4.981 4.981 4.981
angles: 60.00 60.00 60.00
Positions (direct):
Mg  0.000  0.000  0.000
Tl  0.500  0.500  0.500
Tl  0.750  0.750  0.750
Ni  0.250  0.250  0.250

***

[9]
Density functional theory data (PBE-GGA) for MgTl2Ni after structural relaxation.

Properties
- Volume: 22.18 Å³/atom
- Calculated formation energy: 0.11 eV/atom
- N(E_F): 2.1 states/eV/f.u.
- Total moment: 0.0 μB per cell

abc: 6.938 6.938 4.420
angles: 108.36 108.36 26.15
Positions (direct):
Mg  0.000  0.000  0.000
Tl  0.175  0.175  0.675
Tl  0.373  0.373  0.373
Ni  0.672  0.672  0.172

***

[10]
Density functional theory data (PBE-GGA) for Mg5TlNi after structural relaxation.

Properties
- Volume: 22.83 Å³/atom
- Polymorph energy (0 for the lowest one): 0.242 eV/atom
- Calculated formation energy: 0.17 eV/atom
- N(E_F): 3.6 states/eV/f.u.
- Total moment: 0.0 μB per cell

abc: 6.175 6.175 9.957
angles: 111.93 111.93 71.49
Positions (direct):
Mg  0.018  0.231  0.986
Mg  0.111  0.357  0.752
Mg  0.183  0.817  0.750
Mg  0.231  0.018  0.486
Mg  0.357  0.111  0.252
Mg  0.643  0.889  0.748
Mg  0.769  0.982  0.514
Mg  0.817  0.183  0.250
Mg  0.889  0.643  0.248
Mg  0.982  0.769  0.014
Tl  0.415  0.585  0.250
Tl  0.585  0.415  0.750
Ni  0.000  0.500  0.500
Ni  0.500  0.000  0.000

***

[11]
Density functional theory data (PBE-GGA) for MgTl3Ni after structural relaxation.

Properties
- Volume: 27.06 Å³/atom
- Calculated formation energy: 0.17 eV/atom
- N(E_F): 3.1 states/eV/f.u.
- Total moment: 0.0 μB per cell

abc: 5.134 5.134 5.134
angles: 90.00 90.00 90.00
Positions (direct):
Mg  0.000  0.000  0.000
Tl  0.000  0.500  0.500
Tl  0.500  0.000  0.500
Tl  0.500  0.500  0.000
Ni  0.500  0.500  0.500

***

[12]
Density functional theory data (PBE-GGA) for MgTl2Ni after structural relaxation.

Properties
- Volume: 23.22 Å³/atom
- Calculated formation energy: 0.33 eV/atom
- N(E_F): 2.0 states/eV/f.u.
- Total moment: 0.0 μB per cell

abc: 10.055 10.055 10.055
angles: 154.67 154.67 36.12
Positions (direct):
Mg  0.000  0.000  0.000
Mg  0.750  0.250  0.500
Tl  0.145  0.625  0.020
Tl  0.375  0.395  0.520
Tl  0.605  0.125  0.980
Tl  0.875  0.855  0.480
Ni  0.250  0.750  0.500
Ni  0.500  0.500  0.000

***

[13]
Density functional theory data (PBE-GGA) for MgTl2Ni after structural relaxation.

Properties
- Volume: 22.55 Å³/atom
- Calculated formation energy: 0.19 eV/atom
- N(E_F): 3.2 states/eV/f.u.
- Total moment: 0.0 μB per cell

abc: 9.471 9.471 9.471
angles: 20.38 20.38 20.38
Positions (direct):
Mg  0.000  0.000  0.000
Tl  0.534  0.534  0.534
Tl  0.764  0.764  0.764
Ni  0.270  0.270  0.270

***

[14]
Density functional theory data (PBE-GGA) for Mg8TlNi2 after structural relaxation.

Properties
- Volume: 25.41 Å³/atom
- Polymorph energy (0 for the lowest one): 0.230 eV/atom
- Calculated formation energy: 0.17 eV/atom
- N(E_F): 3.7 states/eV/f.u.
- Total moment: 0.0 μB per cell

abc: 10.674 10.674 4.894
angles: 90.48 90.48 30.09
Positions (direct):
Mg  0.174  0.174  0.502
Mg  0.177  0.678  0.997
Mg  0.296  0.296  0.000
Mg  0.322  0.823  0.003
Mg  0.678  0.177  0.997
Mg  0.704  0.704  0.000
Mg  0.823  0.322  0.003
Mg  0.826  0.826  0.498
Tl  0.000  0.000  0.500
Ni  0.174  0.174  0.002
Ni  0.826  0.826  0.998

***

[15]
Density functional theory data (PBE-GGA) for MgTl2Ni after structural relaxation.

Properties
- Volume: 20.70 Å³/atom
- Calculated formation energy: 0.24 eV/atom
- N(E_F): 1.7 states/eV/f.u.
- Total moment: 0.0 μB per cell

abc: 4.486 4.486 4.114
angles: 90.00 90.00 90.00
Positions (direct):
Mg  0.000  0.000  0.000
Tl  0.000  0.500  0.500
Tl  0.500  0.000  0.500
Ni  0.500  0.500  0.000

***

[16]
Density functional theory data (PBE-GGA) for MgTl2Ni after structural relaxation.

Properties
- Volume: 21.64 Å³/atom
- Calculated formation energy: 0.18 eV/atom
- N(E_F): 2.3 states/eV/f.u.
- Total moment: 0.0 μB per cell

abc: 5.605 5.605 5.208
angles: 117.53 117.53 37.32
Positions (direct):
Mg  0.000  0.000  0.000
Tl  0.214  0.214  0.714
Tl  0.786  0.786  0.286
Ni  0.500  0.500  0.500

***

[17]
Density functional theory data (PBE-GGA) for Mg2TlNi2 after structural relaxation.

Properties
- Volume: 19.09 Å³/atom
- Polymorph energy (0 for the lowest one): 0.149 eV/atom
- Calculated formation energy: 0.09 eV/atom
- N(E_F): 4.3 states/eV/f.u.
- Total moment: 0.4 μB per cell

abc: 8.904 8.904 8.904
angles: 158.42 158.42 30.71
Positions (direct):
Mg  0.130  0.130  0.000
Mg  0.870  0.870  0.000
Tl  0.500  0.500  0.000
Ni  0.250  0.750  0.500
Ni  0.750  0.250  0.500

***

[18]
Density functional theory data (PBE-GGA) for Mg2TlNi2 after structural relaxation.

Properties
- Volume: 18.19 Å³/atom
- Polymorph energy (0 for the lowest one): 0.217 eV/atom
- Calculated formation energy: 0.16 eV/atom
- N(E_F): 2.8 states/eV/f.u.
- Total moment: 0.0 μB per cell

abc: 6.330 6.330 6.330
angles: 143.08 143.08 53.21
Positions (direct):
Mg  0.250  0.750  0.500
Mg  0.750  0.250  0.500
Tl  0.000  0.000  0.000
Ni  0.399  0.399  0.000
Ni  0.601  0.601  0.000

***

[19]
Density functional theory data (PBE-GGA) for Mg3TlNi after structural relaxation.

Properties
- Volume: 29.01 Å³/atom
- Polymorph energy (0 for the lowest one): 0.886 eV/atom
- Calculated formation energy: 0.81 eV/atom
- N(E_F): 5.9 states/eV/f.u.
- Total moment: 0.9 μB per cell

abc: 5.254 5.254 5.254
angles: 90.00 90.00 90.00
Positions (direct):
Mg  0.000  0.000  0.500
Mg  0.000  0.500  0.000
Mg  0.500  0.000  0.000
Tl  0.000  0.000  0.000
Ni  0.500  0.500  0.500

***

[20]
Density functional theory data (PBE-GGA) for MgTlNi3 after structural relaxation.

Properties
- Volume: 17.26 Å³/atom
- Polymorph energy (0 for the lowest one): 0.000 eV/atom
- Calculated formation energy: 0.92 eV/atom
- N(E_F): 5.0 states/eV/f.u.
- Total moment: 0.0 μB per cell

abc: 4.419 4.419 4.419
angles: 90.00 90.00 90.00
Positions (direct):
Mg  0.000  0.000  0.000
Tl  0.500  0.500  0.500
Ni  0.000  0.000  0.500
Ni  0.000  0.500  0.000
Ni  0.500  0.000  0.000

***

[21]
Density functional theory data (PBE-GGA) for Mg3TlNi after structural relaxation.

Properties
- Volume: 21.23 Å³/atom
- Polymorph energy (0 for the lowest one): 0.000 eV/atom
- Calculated formation energy: -0.07 eV/atom
- N(E_F): 2.3 states/eV/f.u.
- Total moment: 0.0 μB per cell

abc: 3.539 7.468 8.510
angles: 79.85 78.27 76.66
Positions (direct):
Mg  0.076  0.281  0.073
Mg  0.345  0.586  0.230
Mg  0.366  0.044  0.719
Mg  0.634  0.956  0.281
Mg  0.655  0.414  0.770
Mg  0.924  0.719  0.927
Tl  0.108  0.724  0.558
Tl  0.892  0.276  0.442
Ni  0.265  0.913  0.057
Ni  0.735  0.087  0.943

***

[22]
Density functional theory data (PBE-GGA) for MgTl2Ni after structural relaxation.

Properties
- Volume: 22.37 Å³/atom
- Calculated formation energy: 0.19 eV/atom
- N(E_F): 2.3 states/eV/f.u.
- Total moment: 0.0 μB per cell

abc: 3.790 4.443 5.471
angles: 90.00 103.74 90.00
Positions (direct):
Mg  0.000  0.000  0.000
Tl  0.331  0.500  0.723
Tl  0.700  0.000  0.436
Ni  0.354  0.500  0.213

***

[23]
Density functional theory data (PBE-GGA) for Mg6TlNi2 after structural relaxation.

Properties
- Volume: 19.60 Å³/atom
- Calculated formation energy: -0.10 eV/atom
- N(E_F): 5.4 states/eV/f.u.
- Total moment: 0.0 μB per cell

abc: 7.736 7.736 7.736
angles: 114.46 111.00 103.15
Positions (direct):
Mg  0.021  0.833  0.189
Mg  0.248  0.536  0.287
Mg  0.248  0.961  0.713
Mg  0.290  0.313  0.603
Mg  0.290  0.687  0.977
Mg  0.356  0.167  0.189
Mg  0.644  0.833  0.811
Mg  0.710  0.313  0.023
Mg  0.710  0.687  0.397
Mg  0.752  0.039  0.287
Mg  0.752  0.464  0.713
Mg  0.979  0.167  0.811
Tl  0.000  0.500  0.500
Tl  0.500  0.000  0.500
Ni  0.000  0.163  0.163
Ni  0.000  0.837  0.837
Ni  0.377  0.377  0.000
Ni  0.623  0.623  0.000

***

[24]
Density functional theory data (PBE-GGA) for TmMgTlNi after structural relaxation.

Properties
- Volume: 20.44 Å³/atom
- Calculated formation energy: -0.17 eV/atom
- N(E_F): 1.7 states/eV/f.u.
- Total moment: 0.0 μB per cell

abc: 4.872 4.872 4.872
angles: 60.00 60.00 60.00
Positions (direct):
Tm  0.000  0.000  0.000
Mg  0.500  0.500  0.500
Tl  0.750  0.750  0.750
Ni  0.250  0.250  0.250

***

[25]
Density functional theory data (PBE-GGA) for Y2MgTlNi after structural relaxation.

Properties
- Volume: 26.21 Å³/atom
- Calculated formation energy: -0.17 eV/atom
- N(E_F): 4.3 states/eV/f.u.
- Total moment: 0.0 μB per cell

abc: 5.183 5.183 4.878
angles: 90.00 90.00 90.00
Positions (direct):
Y  0.000  0.500  0.000
Y  0.500  0.000  0.000
Mg  0.000  0.000  0.500
Tl  0.500  0.500  0.500
Ni  0.000  0.000  0.000

***

[26]
Density functional theory data (PBE-GGA) for YMgTl2Ni after structural relaxation.

Properties
- Volume: 30.78 Å³/atom
- Calculated formation energy: 0.89 eV/atom
- N(E_F): 5.7 states/eV/f.u.
- Total moment: 0.8 μB per cell

abc: 5.171 5.171 5.755
angles: 90.00 90.00 90.00
Positions (direct):
Y  0.000  0.000  0.000
Mg  0.000  0.000  0.500
Tl  0.000  0.500  0.500
Tl  0.500  0.000  0.500
Ni  0.500  0.500  0.000